# MgTi2PtO

MgTi2PtO after structural relaxation (PBEsol, Alexandria).

The value obtained for the total magnetization is 0.00 μB/cell. Its uncorrected formation energy is -6.91 eV per formula unit.

The space group is P4/mmm (No. 123) and the conventional cell measures 4.0513, 4.0513 and 4.1020 Å, with angles of 90.00, 90.00 and 90.00 degrees. The distinct sites, in fractional coordinates, are Mg at (0.0000, 0.0000, 0.0000), Ti at (0.0000, 0.5000, 0.5000), Pt at (0.5000, 0.5000, 0.0000) and O at (0.0000, 0.0000, 0.5000).

***

# CdHg

CdHg after structural relaxation (PBEsol, Alexandria).

The value obtained for the total magnetization is 0.00 μB/cell. The raw total energy comes out at -6.929 eV for the cell shown.

The space group is Cmme (No. 67) and the conventional cell measures 2.8736, 5.5066 and 11.2304 Å, with angles of 90.00, 90.00 and 90.00 degrees. The distinct sites, in fractional coordinates, are Cd at (0.0000, 0.2500, 0.1232) and Hg at (0.0000, 0.2500, 0.6275).

***

# SrCu2Br

SrCu2Br after structural relaxation (PBEsol, Alexandria).

The value obtained for the total magnetization is 0.00 μB/cell. Its uncorrected formation energy is -1.19 eV per formula unit.

The space group is P4mm (No. 99) and the conventional cell measures 3.5204, 3.5204 and 7.0153 Å, with angles of 90.00, 90.00 and 90.00 degrees. The distinct sites, in fractional coordinates, are Sr at (0.0000, 0.0000, 0.0000), Cu at (0.0000, 0.0000, 0.6147), Cu at (0.5000, 0.5000, 0.6669) and Br at (0.5000, 0.5000, 0.2478).

***

# ZrAu5

ZrAu5 after structural relaxation (PBEsol, Alexandria).

The value obtained for the total magnetization is 0.00 μB/cell. The raw total energy comes out at -61.232 eV for the cell shown.

The space group is C2/m (No. 12) and the conventional cell measures 9.1631, 3.9723 and 6.0634 Å, with angles of 90.00, 106.76 and 90.00 degrees. The distinct sites, in fractional coordinates, are Zr at (0.0000, 0.0000, 0.0000), Au at (0.0000, 0.0000, 0.5000), Au at (0.1592, 0.5000, 0.3306) and Au at (0.1700, 0.5000, 0.8364).

***

# AlCdRu2

AlCdRu2 after structural relaxation (PBEsol, Alexandria).

The value obtained for the total magnetization is 0.00 μB/cell. The raw total energy comes out at -50.653 eV for the cell shown.

The space group is C2/m (No. 12) and the conventional cell measures 8.6501, 2.8295 and 5.0156 Å, with angles of 90.00, 102.40 and 90.00 degrees. The distinct sites, in fractional coordinates, are Al at (0.0000, 0.0000, 0.0000), Cd at (0.0000, 0.5000, 0.5000) and Ru at (0.2365, 0.5000, 0.2167).

***

# SrIn2Hg

SrIn2Hg after structural relaxation (PBEsol, Alexandria).

The value obtained for the total magnetization is 0.00 μB/cell. The raw total energy comes out at -9.523 eV for the cell shown.

The space group is P4/mmm (No. 123) and the conventional cell measures 3.7905, 3.7905 and 7.5481 Å, with angles of 90.00, 90.00 and 90.00 degrees. The distinct sites, in fractional coordinates, are Sr at (0.0000, 0.0000, 0.0000), In at (0.5000, 0.5000, 0.2956) and Hg at (0.0000, 0.0000, 0.5000).

***

# CeSiAg

CeSiAg after structural relaxation (PBEsol, Alexandria).

The value obtained for the total magnetization is 0.65 μB/cell. Its uncorrected formation energy is -1.23 eV per formula unit.

The space group is P-6m2 (No. 187) and the conventional cell measures 4.3155, 4.3155 and 3.9158 Å, with angles of 90.00, 90.00 and 120.00 degrees. The distinct sites, in fractional coordinates, are Ce at (0.0000, 0.0000, 0.0000), Si at (0.3333, 0.6667, 0.5000) and Ag at (0.6667, 0.3333, 0.5000).

***

# ScGaSCl2

ScGaSCl2 after structural relaxation (PBEsol, Alexandria).

The value obtained for the total magnetization is 1.11 μB/cell. Its uncorrected formation energy is -2.68 eV per formula unit.

The space group is P4/mmm (No. 123) and the conventional cell measures 4.7597, 4.7597 and 4.7585 Å, with angles of 90.00, 90.00 and 90.00 degrees. The distinct sites, in fractional coordinates, are Sc at (0.0000, 0.0000, 0.0000), Ga at (0.5000, 0.5000, 0.5000), S at (0.5000, 0.5000, 0.0000) and Cl at (0.0000, 0.5000, 0.5000).

***

# LiSb2W

LiSb2W after structural relaxation (PBEsol, Alexandria).

The value obtained for the total magnetization is 0.00 μB/cell. Its uncorrected formation energy is 1.11 eV per formula unit. Its relative energy among the computed polymorphs is 0.067 eV per atom.

The space group is P4mm (No. 99) and the conventional cell measures 3.7068, 3.7068 and 5.5000 Å, with angles of 90.00, 90.00 and 90.00 degrees. The distinct sites, in fractional coordinates, are Li at (0.0000, 0.0000, 0.0000), Sb at (0.0000, 0.0000, 0.5210), Sb at (0.5000, 0.5000, 0.1850) and W at (0.5000, 0.5000, 0.7047).

***

# Zr6Be15Ni8

Zr6Be15Ni8 after structural relaxation (PBEsol, Alexandria).

The value obtained for the total magnetization is 0.00 μB/cell. The raw total energy comes out at -701.937 eV for the cell shown.

The space group is Fm-3m (No. 225) and the conventional cell measures 10.9272, 10.9272 and 10.9272 Å, with angles of 90.00, 90.00 and 90.00 degrees. The distinct sites, in fractional coordinates, are Zr at (0.0000, 0.0000, 0.2109), Be at (0.0000, 0.0000, 0.5000), Be at (0.0000, 0.2500, 0.2500), Be at (0.1775, 0.1775, 0.1775) and Ni at (0.1240, 0.1240, 0.3760).

***

# Sr2NiAg

Sr2NiAg after structural relaxation (PBEsol, Alexandria).

The value obtained for the total magnetization is 0.00 μB/cell. The raw total energy comes out at -26.875 eV for the cell shown.

The space group is Amm2 (No. 38) and the conventional cell measures 4.3967, 4.3606 and 11.3872 Å, with angles of 90.00, 90.00 and 90.00 degrees. The distinct sites, in fractional coordinates, are Sr at (0.0000, 0.0000, 0.0000), Sr at (0.5000, 0.0000, 0.2817), Ni at (0.0000, 0.0000, 0.7015) and Ag at (0.5000, 0.0000, 0.5806).

***

# Ca2LaAl

Ca2LaAl after structural relaxation (PBEsol, Alexandria).

The value obtained for the total magnetization is 0.00 μB/cell. The raw total energy comes out at -27.325 eV for the cell shown.

The space group is I4/mmm (No. 139) and the conventional cell measures 4.8162, 4.8162 and 10.4976 Å, with angles of 90.00, 90.00 and 90.00 degrees. The distinct sites, in fractional coordinates, are Ca at (0.0000, 0.5000, 0.2500), La at (0.0000, 0.0000, 0.0000) and Al at (0.0000, 0.0000, 0.5000).

***

Repeat the sixth record exactly.
# SrIn2Hg

SrIn2Hg after structural relaxation (PBEsol, Alexandria).

The value obtained for the total magnetization is 0.00 μB/cell. The raw total energy comes out at -9.523 eV for the cell shown.

The space group is P4/mmm (No. 123) and the conventional cell measures 3.7905, 3.7905 and 7.5481 Å, with angles of 90.00, 90.00 and 90.00 degrees. The distinct sites, in fractional coordinates, are Sr at (0.0000, 0.0000, 0.0000), In at (0.5000, 0.5000, 0.2956) and Hg at (0.0000, 0.0000, 0.5000).

***

What did the fourth record say?
# ZrAu5

ZrAu5 after structural relaxation (PBEsol, Alexandria).

The value obtained for the total magnetization is 0.00 μB/cell. The raw total energy comes out at -61.232 eV for the cell shown.

The space group is C2/m (No. 12) and the conventional cell measures 9.1631, 3.9723 and 6.0634 Å, with angles of 90.00, 106.76 and 90.00 degrees. The distinct sites, in fractional coordinates, are Zr at (0.0000, 0.0000, 0.0000), Au at (0.0000, 0.0000, 0.5000), Au at (0.1592, 0.5000, 0.3306) and Au at (0.1700, 0.5000, 0.8364).